{"formula": "Ac3ZnSi2", "functional": "PBE-GGA", "state": "relaxed", "lattice": [[4.438, 0.000, 0.000], [0.000, 12.696, 0.000], [0.000, 0.000, 12.587]], "species": ["Si", "Si", "Si", "Si", "Si", "Si", "Si", "Si", "Zn", "Zn", "Zn", "Zn", "Ac", "Ac", "Ac", "Ac", "Ac", "Ac", "Ac", "Ac", "Ac", "Ac", "Ac", "Ac"], "frac_coords": [[0.250, 0.484, 0.801], [0.750, 0.317, 0.537], [0.750, 0.183, 0.037], [0.750, 0.516, 0.199], [0.250, 0.683, 0.463], [0.250, 0.817, 0.963], [0.750, 0.984, 0.699], [0.250, 0.016, 0.301], [0.750, 0.639, 0.364], [0.250, 0.361, 0.636], [0.750, 0.861, 0.864], [0.250, 0.139, 0.136], [0.750, 0.204, 0.305], [0.250, 0.796, 0.695], [0.250, 0.059, 0.881], [0.750, 0.885, 0.434], [0.750, 0.615, 0.934], [0.750, 0.559, 0.619], [0.250, 0.441, 0.381], [0.250, 0.385, 0.066], [0.250, 0.115, 0.566], [0.750, 0.296, 0.805], [0.750, 0.941, 0.119], [0.250, 0.704, 0.195]], "polymorph_energy_mev_per_atom": 0, "raw_formation_energy_mev_per_atom": -465, "magnetic_moment_mub_per_cell": 1.790, "volume_a3_per_cell": 709}